No. 1
# ZnH16C6N6O10 (GGA-PBE, optimized geometry)
data_ZnH16C6N6O10
_cell_length_a 14.6100
_cell_length_b 10.1420
_cell_length_c 11.4481
_cell_angle_alpha 90.00
_cell_angle_beta 116.34
_cell_angle_gamma 90.00
_symmetry_space_group_name_H-M 'C 1 2/c 1'
_symmetry_Int_Tables_number 15
loop_
_symmetry_equiv_pos_as_xyz
'x,y,z'
'-x,-y,-z'
'-x,y,-z+1/2'
'x,-y,z+1/2'
'x+1/2,y+1/2,z'
'-x+1/2,-y+1/2,-z'
'-x+1/2,y+1/2,-z+1/2'
'x+1/2,-y+1/2,z+1/2'
loop_
_atom_site_label
_atom_site_type_symbol
_atom_site_fract_x
_atom_site_fract_y
_atom_site_fract_z
Zn1 Zn 0.0000 0.1739 0.2500
H1 H 0.1157 0.1193 0.9144
H2 H 0.1173 0.2805 0.0706
H3 H 0.1205 0.4861 0.3446
H4 H 0.1242 0.4471 0.0370
H5 H 0.1323 0.0607 0.1716
H6 H 0.1384 0.1744 0.7854
H7 H 0.1434 0.3972 0.7456
H8 H 0.1986 0.1644 0.2781
C1 C 0.1147 0.1353 0.5259
C2 C 0.1218 0.2861 0.5027
C3 C 0.1257 0.3218 0.9001
N1 N 0.1085 0.3522 0.0032
N2 N 0.1312 0.1964 0.8684
N3 N 0.1372 0.4192 0.8288
O1 O 0.0758 0.0631 0.4239
O2 O 0.0772 0.3239 0.3841
O3 O 0.1302 0.1532 0.2035
O4 O 0.1476 0.0951 0.6415
O5 O 0.1705 0.3612 0.5981
# **Electronic total energy**: -6.150 eV/atom



No. 2
# Na6MgCd23 (GGA-PBE, optimized geometry)
data_Na6MgCd23
_cell_length_a 14.2060
_cell_length_b 14.2060
_cell_length_c 14.2060
_cell_angle_alpha 90.00
_cell_angle_beta 90.00
_cell_angle_gamma 90.00
_symmetry_space_group_name_H-M 'F m -3 m'
_symmetry_Int_Tables_number 225
_symmetry_space_group_name_Hall '-F 4 2 3'
loop_
_atom_site_label
_atom_site_type_symbol
_atom_site_fract_x
_atom_site_fract_y
_atom_site_fract_z
Na1 Na 0.0000 0.0000 0.2272
Mg1 Mg 0.0000 0.0000 0.5000
Cd1 Cd 0.0000 0.0000 0.0000
Cd2 Cd 0.0000 0.2500 0.2500
Cd3 Cd 0.1233 0.1233 0.3767
Cd4 Cd 0.1499 0.1499 0.1499
# **Energy relative to the elements**: -1.9 eV/f.u.



No. 3
# BeAlAg2 (GGA-PBE, optimized geometry)
data_BeAlAg2
_cell_length_a 4.2647
_cell_length_b 4.2647
_cell_length_c 3.2485
_cell_angle_alpha 90.00
_cell_angle_beta 90.00
_cell_angle_gamma 90.00
_symmetry_space_group_name_H-M 'P 4/m m m'
_symmetry_Int_Tables_number 123
_symmetry_space_group_name_Hall '-P 4 2'
loop_
_atom_site_label
_atom_site_type_symbol
_atom_site_fract_x
_atom_site_fract_y
_atom_site_fract_z
Be1 Be 0.0000 0.0000 0.0000
Al1 Al 0.5000 0.5000 0.0000
Ag1 Ag 0.0000 0.5000 0.5000
# **Energy relative to the elements**: 0.4 eV/f.u.
# **Energy above the lowest structure with this stoichiometry**: 36.4 meV/atom



No. 4
# Ac2DyGe4Ir3 (GGA-PBE, optimized geometry)
data_Ac2DyGe4Ir3
_cell_length_a 4.3991
_cell_length_b 4.3991
_cell_length_c 11.1888
_cell_angle_alpha 90.00
_cell_angle_beta 90.00
_cell_angle_gamma 90.00
_symmetry_space_group_name_H-M 'P -4 m 2'
_symmetry_Int_Tables_number 115
loop_
_symmetry_equiv_pos_as_xyz
'x,y,z'
'y,-x,-z'
'-x,-y,z'
'-y,x,-z'
'-x,y,z'
'-y,-x,-z'
'x,-y,z'
'y,x,-z'
loop_
_atom_site_label
_atom_site_type_symbol
_atom_site_fract_x
_atom_site_fract_y
_atom_site_fract_z
Ac1 Ac 0.0000 0.5000 0.2305
Dy1 Dy 0.0000 0.0000 0.5000
Ge1 Ge 0.0000 0.0000 0.0000
Ge2 Ge 0.0000 0.5000 0.6616
Ge3 Ge 0.5000 0.5000 0.0000
Ir1 Ir 0.0000 0.5000 0.8864
Ir2 Ir 0.5000 0.5000 0.5000
# **Energy relative to the elements**: -7.2 eV/f.u.



No. 5
# SmBe2BOs (GGA-PBE, optimized geometry)
data_SmBe2BOs
_cell_length_a 3.5261
_cell_length_b 3.5799
_cell_length_c 10.8803
_cell_angle_alpha 90.00
_cell_angle_beta 90.00
_cell_angle_gamma 90.00
_symmetry_space_group_name_H-M 'I m m 2'
_symmetry_Int_Tables_number 44
loop_
_symmetry_equiv_pos_as_xyz
'x,y,z'
'-x,-y,z'
'-x,y,z'
'x,-y,z'
'x+1/2,y+1/2,z+1/2'
'-x+1/2,-y+1/2,z+1/2'
'-x+1/2,y+1/2,z+1/2'
'x+1/2,-y+1/2,z+1/2'
loop_
_atom_site_label
_atom_site_type_symbol
_atom_site_fract_x
_atom_site_fract_y
_atom_site_fract_z
Sm1 Sm 0.0000 0.0000 0.0000
Be1 Be 0.0000 0.0000 0.6401
Be2 Be 0.0000 0.5000 0.2673
B1 B 0.0000 0.0000 0.3710
Os1 Os 0.0000 0.5000 0.7647
# **Energy relative to the elements**: -0.9 eV/f.u.



No. 6
# Tb5Pm2Nd4 (GGA-PBE, optimized geometry)
data_Tb5Pm2Nd4
_cell_length_a 19.4058
_cell_length_b 5.7375
_cell_length_c 6.6847
_cell_angle_alpha 90.00
_cell_angle_beta 91.06
_cell_angle_gamma 90.00
_symmetry_space_group_name_H-M 'C 1 2/m 1'
_symmetry_Int_Tables_number 12
loop_
_symmetry_equiv_pos_as_xyz
'x,y,z'
'-x,-y,-z'
'-x,y,-z'
'x,-y,z'
'x+1/2,y+1/2,z'
'-x+1/2,-y+1/2,-z'
'-x+1/2,y+1/2,-z'
'x+1/2,-y+1/2,z'
loop_
_atom_site_label
_atom_site_type_symbol
_atom_site_fract_x
_atom_site_fract_y
_atom_site_fract_z
Tb1 Tb 0.0000 0.0000 0.0000
Tb2 Tb 0.1310 0.5000 0.8943
Tb3 Tb 0.2092 0.5000 0.4007
Pm1 Pm 0.0974 0.0000 0.5519
Nd1 Nd 0.0207 0.5000 0.2841
Nd2 Nd 0.1955 0.0000 0.0774
# **Energy relative to the elements**: 1.1 eV/f.u.
# **Energy above the lowest structure with this stoichiometry**: 0.0 meV/atom



No. 7
# PmTmSe2 (GGA-PBE, optimized geometry)
data_PmTmSe2
_cell_length_a 3.9658
_cell_length_b 3.9658
_cell_length_c 21.8255
_cell_angle_alpha 90.00
_cell_angle_beta 90.00
_cell_angle_gamma 120.00
_symmetry_space_group_name_H-M 'R 3 m'
_symmetry_Int_Tables_number 160
_symmetry_space_group_name_Hall 'R 3 -2"'
loop_
_atom_site_label
_atom_site_type_symbol
_atom_site_fract_x
_atom_site_fract_y
_atom_site_fract_z
Pm1 Pm 0.0000 0.0000 0.0000
Tm1 Tm 0.0000 0.0000 0.1763
Se1 Se 0.0000 0.0000 0.4248
Se2 Se 0.0000 0.0000 0.5848
# **ΔE_f (raw)**: -1.721 eV per atom
# **Energy above the lowest structure with this stoichiometry**: 35.7 meV/atom



No. 8
# LiB4C4 (GGA-PBE, optimized geometry)
data_LiB4C4
_cell_length_a 14.4076
_cell_length_b 4.6816
_cell_length_c 5.3607
_cell_angle_alpha 90.00
_cell_angle_beta 100.64
_cell_angle_gamma 90.00
_symmetry_space_group_name_H-M 'C 1 2 1'
_symmetry_Int_Tables_number 5
loop_
_symmetry_equiv_pos_as_xyz
'x,y,z'
'-x,y,-z'
'x+1/2,y+1/2,z'
'-x+1/2,y+1/2,-z'
loop_
_atom_site_label
_atom_site_type_symbol
_atom_site_fract_x
_atom_site_fract_y
_atom_site_fract_z
Li1 Li 0.1257 0.0000 0.0606
B1 B 0.0000 0.3235 0.5000
B2 B 0.0000 0.3297 0.0000
B3 B 0.0006 0.8249 0.2531
B4 B 0.2403 0.6349 0.6193
B5 B 0.2420 0.6331 0.1222
C1 C 0.0004 0.1536 0.2495
C2 C 0.0000 0.6517 0.5000
C3 C 0.0000 0.6575 0.0000
C4 C 0.2423 0.8046 0.8711
C5 C 0.2424 0.8069 0.3717
# **Energy relative to the elements**: 2.1 eV/f.u.
# **Energy above the lowest structure with this stoichiometry**: 146.5 meV/atom



Please write out number 7 again, unchanged.
# PmTmSe2 (GGA-PBE, optimized geometry)
data_PmTmSe2
_cell_length_a 3.9658
_cell_length_b 3.9658
_cell_length_c 21.8255
_cell_angle_alpha 90.00
_cell_angle_beta 90.00
_cell_angle_gamma 120.00
_symmetry_space_group_name_H-M 'R 3 m'
_symmetry_Int_Tables_number 160
_symmetry_space_group_name_Hall 'R 3 -2"'
loop_
_atom_site_label
_atom_site_type_symbol
_atom_site_fract_x
_atom_site_fract_y
_atom_site_fract_z
Pm1 Pm 0.0000 0.0000 0.0000
Tm1 Tm 0.0000 0.0000 0.1763
Se1 Se 0.0000 0.0000 0.4248
Se2 Se 0.0000 0.0000 0.5848
# **ΔE_f (raw)**: -1.721 eV per atom
# **Energy above the lowest structure with this stoichiometry**: 35.7 meV/atom